1.
VASP calculation (PBE) on a relaxed La2Sc4Si3O2 crystal.

Properties
Uncorrected energy (eV per cell): -78.7
Formation energy without anion corrections (eV per formula unit): -17.4
Space-group type: No. 139
Total magnetic moment (μB per formula unit): 1.2
Fermi-level density of states (states/eV/cell): 7.1

a = 12.185 Å, b = 12.185 Å, c = 12.185 Å
α = 159.57°, β = 159.57°, γ = 29.05°
Fractional positions:
La1 0.194 0.194 0.000
La2 0.806 0.806 0.000
Sc1 0.076 0.576 0.500
Sc2 0.424 0.924 0.500
Sc3 0.576 0.076 0.500
Sc4 0.924 0.424 0.500
Si1 0.338 0.338 0.000
Si2 0.500 0.500 0.000
Si3 0.662 0.662 0.000
O1 0.084 0.084 0.000
O2 0.916 0.916 0.000

=====

2.
VASP calculation (PBE) on a relaxed LiTaCo2 crystal.

Properties
Uncorrected energy (eV per cell): -28.1
Space-group type: No. 123
DFT formation energy (meV per atom): -36
Total magnetic moment (μB per formula unit): 0.0
Fermi-level density of states (states/eV/cell): 1.5

a = 3.997 Å, b = 3.997 Å, c = 3.122 Å
α = 90.00°, β = 90.00°, γ = 90.00°
Fractional positions:
Li1 0.000 0.000 0.000
Ta1 0.500 0.500 0.000
Co1 0.000 0.500 0.500
Co2 0.500 0.000 0.500

=====

3.
VASP calculation (PBE) on a relaxed Ce2Nd3Y6Ho crystal.

Properties
Uncorrected energy (eV per cell): -69.0
Space-group type: No. 12
DFT formation energy (meV per atom): 45
Total magnetic moment (μB per formula unit): 2.0
Fermi-level density of states (states/eV/cell): 20.9

a = 6.222 Å, b = 6.222 Å, c = 11.833 Å
α = 95.02°, β = 95.02°, γ = 119.99°
Fractional positions:
Ce1 0.166 0.834 0.000
Ce2 0.834 0.166 0.000
Nd1 0.000 0.000 0.500
Nd2 0.334 0.666 0.500
Nd3 0.666 0.334 0.500
Y1 0.083 0.418 0.754
Y2 0.247 0.247 0.246
Y3 0.418 0.083 0.754
Y4 0.582 0.917 0.246
Y5 0.753 0.753 0.754
Y6 0.917 0.582 0.246
Ho1 0.500 0.500 0.000

=====

4.
VASP calculation (PBE) on a relaxed ScIrOs3 crystal.

Properties
Uncorrected energy (eV per cell): -36.4
Space-group type: No. 221
DFT formation energy (meV per atom): 2491
Total magnetic moment (μB per formula unit): 0.0
Fermi-level density of states (states/eV/cell): 5.9

a = 4.515 Å, b = 4.515 Å, c = 4.515 Å
α = 90.00°, β = 90.00°, γ = 90.00°
Fractional positions:
Sc1 0.000 0.000 0.000
Ir1 0.500 0.500 0.500
Os1 0.000 0.000 0.500
Os2 0.000 0.500 0.000
Os3 0.500 0.000 0.000

=====

5.
VASP calculation (PBE) on a relaxed CdSn2WN crystal.

Properties
Uncorrected energy (eV per cell): -22.5
Formation energy without anion corrections (eV per formula unit): 7.7
Space-group type: No. 123
Total magnetic moment (μB per formula unit): 3.4
Fermi-level density of states (states/eV/cell): 3.6

a = 5.256 Å, b = 5.256 Å, c = 5.466 Å
α = 90.00°, β = 90.00°, γ = 90.00°
Fractional positions:
Cd1 0.000 0.000 0.000
Sn1 0.000 0.500 0.500
Sn2 0.500 0.000 0.500
W1 0.000 0.000 0.500
N1 0.500 0.500 0.000

=====

6.
VASP calculation (PBE) on a relaxed Cs4Bi3N4 crystal.

Properties
Uncorrected energy (eV per cell): -50.3
Formation energy without anion corrections (eV per formula unit): -1.9
Space-group type: No. 12
Total magnetic moment (μB per formula unit): 0.0
Fermi-level density of states (states/eV/cell): 7.8

a = 10.597 Å, b = 10.597 Å, c = 7.692 Å
α = 110.11°, β = 110.11°, γ = 36.07°
Fractional positions:
Cs1 0.058 0.058 0.289
Cs2 0.290 0.290 0.257
Cs3 0.710 0.710 0.743
Cs4 0.942 0.942 0.711
Bi1 0.438 0.438 0.057
Bi2 0.500 0.500 0.500
Bi3 0.562 0.562 0.943
N1 0.213 0.213 0.657
N2 0.238 0.238 0.817
N3 0.762 0.762 0.183
N4 0.787 0.787 0.343

=====

- total magnetic moment of number 5 (CdSn2WN)?
  3.4 μB per formula unit